<P>
Density functional theory data (PBE) for an optimized crystal structure of Cr2FeBi.

Computed properties:
V ... 82 Å³/f.u.
Total moment ... 0.0 μB per cell
Mass density ... 7.5 g cm⁻³

Lattice parameters (Å, degrees): 5.5101 5.5101 10.7897 90.00 90.00 90.00
Space group I-42d (No. 122)
One atom of each set of equivalent atoms:
Cr1 0.1640 0.2500 0.1250
Fe1 0.0000 0.0000 0.0000
Bi1 0.0000 0.0000 0.5000

<Q>
Density functional theory data (PBE) for an optimized crystal structure of Cr2FeBi.

Computed properties:
V ... 60 Å³/f.u.
Total moment ... 2.3 μB per cell
Mass density ... 10.3 g cm⁻³

Lattice parameters (Å, degrees): 6.2011 6.2011 6.2011 90.00 90.00 90.00
Space group Fm-3m (No. 225)
One atom of each set of equivalent atoms:
Cr1 0.2500 0.2500 0.2500
Fe1 0.0000 0.0000 0.0000
Bi1 0.0000 0.0000 0.5000

What are the relative energies? In meV per atom: <P> 713; <Q> 0.

<P>
Density functional theory data (PBE) for an optimized crystal structure of VCr2FeBi.

Computed properties:
V ... 103 Å³/f.u.
Total moment ... 0.0 μB per cell
Mass density ... 6.8 g cm⁻³

Lattice parameters (Å, degrees): 4.7396 4.7396 4.5718 90.00 90.00 90.00
Space group P4/mmm (No. 123)
One atom of each set of equivalent atoms:
V1 0.0000 0.0000 0.0000
Cr1 0.0000 0.5000 0.5000
Fe1 0.5000 0.5000 0.0000
Bi1 0.5000 0.5000 0.5000

<Q>
Density functional theory data (PBE) for an optimized crystal structure of VCr2FeBi.

Computed properties:
V ... 93 Å³/f.u.
Total moment ... 5.8 μB per cell
Mass density ... 7.5 g cm⁻³

Lattice parameters (Å, degrees): 4.3565 4.3565 4.9101 90.00 90.00 90.00
Space group P4/mmm (No. 123)
One atom of each set of equivalent atoms:
V1 0.0000 0.0000 0.0000
Cr1 0.0000 0.5000 0.5000
Fe1 0.5000 0.5000 0.5000
Bi1 0.5000 0.5000 0.0000

What are the relative energies? In meV per atom: <P> 1188; <Q> 0.

<P>
Density functional theory data (PBE) for an optimized crystal structure of Cr3GaBi.

Computed properties:
V ... 106 Å³/f.u.
Total moment ... 10.4 μB per cell
Mass density ... 6.8 g cm⁻³

Lattice parameters (Å, degrees): 4.7391 4.7391 4.7391 90.00 90.00 90.00
Space group Pm-3m (No. 221)
One atom of each set of equivalent atoms:
Cr1 0.0000 0.0000 0.5000
Ga1 0.0000 0.0000 0.0000
Bi1 0.5000 0.5000 0.5000

<Q>
Density functional theory data (PBE) for an optimized crystal structure of Cr3GaBi.

Computed properties:
V ... 149 Å³/f.u.
Total moment ... 13.3 μB per cell
Mass density ... 4.9 g cm⁻³

Lattice parameters (Å, degrees): 5.2979 5.2979 5.2979 90.00 90.00 90.00
Space group Pm-3m (No. 221)
One atom of each set of equivalent atoms:
Cr1 0.0000 0.0000 0.5000
Ga1 0.5000 0.5000 0.5000
Bi1 0.0000 0.0000 0.0000

What are the relative energies? In meV per atom: <P> 0; <Q> 537.

<P>
Density functional theory data (PBE) for an optimized crystal structure of Cr2GaBi.

Computed properties:
V ... 67 Å³/f.u.
Total moment ... 17.1 μB per cell
Mass density ... 9.4 g cm⁻³

Lattice parameters (Å, degrees): 6.4570 6.4570 6.4570 90.00 90.00 90.00
Space group Fm-3m (No. 225)
One atom of each set of equivalent atoms:
Cr1 0.2500 0.2500 0.2500
Ga1 0.0000 0.0000 0.0000
Bi1 0.0000 0.0000 0.5000

<Q>
Density functional theory data (PBE) for an optimized crystal structure of Cr2GaBi.

Computed properties:
V ... 74 Å³/f.u.
Total moment ... 1.6 μB per cell
Mass density ... 8.6 g cm⁻³

Lattice parameters (Å, degrees): 4.0429 4.0429 18.0606 90.00 90.00 90.00
Space group I-42d (No. 122)
One atom of each set of equivalent atoms:
Cr1 0.1461 0.2500 0.1250
Ga1 0.0000 0.0000 0.0000
Bi1 0.0000 0.0000 0.5000

What are the relative energies? In meV per atom: <P> 0; <Q> 170.

<P>
Density functional theory data (PBE) for an optimized crystal structure of CrGaBi3.

Computed properties:
V ... 149 Å³/f.u.
Total moment ... 2.0 μB per cell
Mass density ... 8.4 g cm⁻³

Lattice parameters (Å, degrees): 5.2983 5.2983 5.2983 90.00 90.00 90.00
Space group Pm-3m (No. 221)
One atom of each set of equivalent atoms:
Cr1 0.0000 0.0000 0.0000
Ga1 0.5000 0.5000 0.5000
Bi1 0.0000 0.0000 0.5000

<Q>
Density functional theory data (PBE) for an optimized crystal structure of CrGaBi3.

Computed properties:
V ... 157 Å³/f.u.
Total moment ... 0.6 μB per cell
Mass density ... 7.9 g cm⁻³

Lattice parameters (Å, degrees): 5.3960 5.3960 5.3960 90.00 90.00 90.00
Space group Pm-3m (No. 221)
One atom of each set of equivalent atoms:
Cr1 0.0000 0.0000 0.0000
Ga1 0.5000 0.5000 0.5000
Bi1 0.0000 0.5000 0.5000

What are the relative energies? In meV per atom: <P> 0; <Q> 856.

<P>
Density functional theory data (PBE) for an optimized crystal structure of Cr2GeBi.

Computed properties:
V ... 75 Å³/f.u.
Total moment ... 0.0 μB per cell
Mass density ... 8.6 g cm⁻³

Lattice parameters (Å, degrees): 4.1297 4.1297 17.5654 90.00 90.00 90.00
Space group I-42d (No. 122)
One atom of each set of equivalent atoms:
Cr1 0.1404 0.2500 0.1250
Ge1 0.0000 0.0000 0.0000
Bi1 0.0000 0.0000 0.5000

<Q>
Density functional theory data (PBE) for an optimized crystal structure of Cr2GeBi.

Computed properties:
V ... 66 Å³/f.u.
Total moment ... 13.0 μB per cell
Mass density ... 9.7 g cm⁻³

Lattice parameters (Å, degrees): 6.4144 6.4144 6.4144 90.00 90.00 90.00
Space group Fm-3m (No. 225)
One atom of each set of equivalent atoms:
Cr1 0.2500 0.2500 0.2500
Ge1 0.0000 0.0000 0.0000
Bi1 0.0000 0.0000 0.5000

What are the relative energies? In meV per atom: <P> 145; <Q> 0.